[1]
Pu2Mn2Ni15 (PBE-GGA, relaxed); mass density = 10.1 Mg/m³; final energy = -7.127 eV/atom
1.0
-1.426 -6.130 -0.213
5.537 -2.187 2.055
-1.595 -0.667 6.056
Pu Mn Ni
2 2 15
Direct
0.348 0.348 0.348 Pu
0.652 0.652 0.652 Pu
0.102 0.102 0.102 Mn
0.898 0.898 0.898 Mn
0.500 0.000 0.000 Ni
0.000 0.000 0.500 Ni
0.000 0.500 0.000 Ni
0.000 0.702 0.298 Ni
0.702 0.298 0.000 Ni
0.298 0.000 0.702 Ni
0.298 0.702 0.000 Ni
0.702 0.000 0.298 Ni
0.000 0.298 0.702 Ni
0.154 0.655 0.655 Ni
0.655 0.655 0.154 Ni
0.655 0.154 0.655 Ni
0.846 0.345 0.345 Ni
0.345 0.345 0.846 Ni
0.345 0.846 0.345 Ni

[2]
NdBeSi2Ir (PBE-GGA, relaxed); mass density = 8.1 Mg/m³; final energy = -6.363 eV/atom
1.0
-1.095 0.891 3.721
2.948 -2.271 1.412
2.257 4.793 -2.612
Nd Be Si Ir
1 1 2 1
Direct
0.000 0.000 0.000 Nd
0.750 0.250 0.500 Be
0.621 0.621 0.241 Si
0.379 0.379 0.759 Si
0.250 0.750 0.500 Ir

[3]
KBe2Ag (PBE-GGA, relaxed); mass density = 3.0 Mg/m³; final energy = -2.252 eV/atom
1.0
-4.004 2.397 0.599
-1.238 -0.959 -4.436
-6.387 -6.211 0.632
Be K Ag
4 2 2
Direct
0.875 0.125 0.250 Be
0.875 0.625 0.250 Be
0.375 0.125 0.750 Be
0.875 0.125 0.750 Be
0.500 0.500 0.000 K
0.250 0.750 0.500 K
0.000 0.000 0.000 Ag
0.750 0.250 0.500 Ag

[4]
RbNp2CdO8 (PBE-GGA, relaxed); mass density = 5.5 Mg/m³; final energy = -7.375 eV/atom
1.0
-1.868 5.920 -1.488
-4.337 -4.420 1.552
0.502 1.799 6.525
Rb Np Cd O
1 2 1 8
Direct
0.000 0.000 0.000 Rb
0.667 0.333 0.045 Np
0.333 0.667 0.955 Np
0.000 0.000 0.500 Cd
0.926 0.583 0.869 O
0.417 0.343 0.869 O
0.657 0.074 0.869 O
0.074 0.417 0.131 O
0.583 0.657 0.131 O
0.343 0.926 0.131 O
0.667 0.333 0.316 O
0.333 0.667 0.684 O

[5]
Er4Te3Pd (PBE-GGA, relaxed); mass density = 8.5 Mg/m³; final energy = -5.263 eV/atom
1.0
7.279 0.035 0.000
-2.516 7.172 0.000
0.000 0.000 8.616
Te Pd Er
6 2 8
Direct
0.750 0.000 0.383 Te
0.250 0.000 0.617 Te
0.750 0.500 0.611 Te
0.750 0.500 0.124 Te
0.250 0.500 0.389 Te
0.250 0.500 0.876 Te
0.750 0.000 0.885 Pd
0.250 0.000 0.115 Pd
0.978 0.231 0.654 Er
0.509 0.218 0.887 Er
0.478 0.231 0.346 Er
0.009 0.218 0.113 Er
0.991 0.782 0.887 Er
0.522 0.769 0.654 Er
0.491 0.782 0.113 Er
0.022 0.769 0.346 Er

[6]
LiZrIn3 (PBE-GGA, relaxed); mass density = 4.2 Mg/m³; final energy = -3.308 eV/atom
1.0
-2.016 5.230 0.201
-5.216 -2.025 0.397
0.443 -0.044 5.591
Li Zr In
1 1 3
Direct
0.500 0.500 0.500 Li
0.000 0.000 0.000 Zr
0.000 0.500 0.000 In
0.000 0.000 0.500 In
0.500 0.000 0.000 In

> What is the formula in the fourth record?

RbNp2CdO8

> Among the records above, which one has the highest final energy?

KBe2Ag

Repeat the sixth record exactly.
LiZrIn3 (PBE-GGA, relaxed); mass density = 4.2 Mg/m³; final energy = -3.308 eV/atom
1.0
-2.016 5.230 0.201
-5.216 -2.025 0.397
0.443 -0.044 5.591
Li Zr In
1 1 3
Direct
0.500 0.500 0.500 Li
0.000 0.000 0.000 Zr
0.000 0.500 0.000 In
0.000 0.000 0.500 In
0.500 0.000 0.000 In

Repeat the fourth record exactly.
RbNp2CdO8 (PBE-GGA, relaxed); mass density = 5.5 Mg/m³; final energy = -7.375 eV/atom
1.0
-1.868 5.920 -1.488
-4.337 -4.420 1.552
0.502 1.799 6.525
Rb Np Cd O
1 2 1 8
Direct
0.000 0.000 0.000 Rb
0.667 0.333 0.045 Np
0.333 0.667 0.955 Np
0.000 0.000 0.500 Cd
0.926 0.583 0.869 O
0.417 0.343 0.869 O
0.657 0.074 0.869 O
0.074 0.417 0.131 O
0.583 0.657 0.131 O
0.343 0.926 0.131 O
0.667 0.333 0.316 O
0.333 0.667 0.684 O